# GGA+U MoO3F, relaxed
# Total energy (eV/cell): -60.7
data_MoO3F
_chemical_formula_sum 'Mo2 O6 F2'
_symmetry_space_group_name_H-M 'P 1 21 1'
_symmetry_Int_Tables_number 4
_cell_length_a 5.489
_cell_length_b 5.586
_cell_length_c 5.565
_cell_angle_alpha 90.00
_cell_angle_beta 117.50
_cell_angle_gamma 90.00
loop_
_symmetry_equiv_pos_as_xyz
'x,y,z'
'-x,y+1/2,-z'
loop_
_atom_site_label
_atom_site_type_symbol
_atom_site_fract_x
_atom_site_fract_y
_atom_site_fract_z
Mo1 Mo 0.010 0.000 0.250
O1 O 0.003 0.826 0.969
O2 O 0.019 0.272 0.544
O3 O 0.346 0.603 0.941
F1 F 0.392 0.074 0.425